CsNdW2O8: optimized geometry, GGA+U.

Results
The raw total energy is -87.65 eV/cell.

The structure in POSCAR format:
```
CsNdW2O8
1.0
2.969 1.714 8.802
-2.969 1.714 8.802
0.000 -3.428 8.802
Cs Nd W O
1 1 2 8
Direct
0.000 0.000 0.000 Cs
0.500 0.500 0.500 Nd
0.241 0.241 0.241 W
0.759 0.759 0.759 W
0.095 0.733 0.516 O
0.267 0.484 0.905 O
0.308 0.308 0.308 O
0.484 0.905 0.267 O
0.516 0.095 0.733 O
0.692 0.692 0.692 O
0.733 0.516 0.095 O
0.905 0.267 0.484 O
```